# 1
# MgTeSeI2, relaxed, DFT GGA-PBE
# energy relative to the elements, uncorrected: 0.2158 eV per atom
# size of the total moment: 0.00 μB per formula unit
# energy: -10.2 eV/f.u.
# DOS(E_F): 5.51 states/eV/cell
# distance to the lowest polymorph of the same formula: 0.20 eV per formula unit
data_MgTeSeI2
_cell_length_a 5.687
_cell_length_b 5.687
_cell_length_c 5.665
_cell_angle_alpha 90.00
_cell_angle_beta 90.00
_cell_angle_gamma 90.00
_space_group_name_H-M_alt 'P 1'
_space_group_IT_number 1
loop_
_space_group_symop_operation_xyz
'x,y,z'
loop_
_atom_site_label
_atom_site_type_symbol
_atom_site_fract_x
_atom_site_fract_y
_atom_site_fract_z
_atom_site_occupancy
Mg1 Mg 0.000 0.000 0.000 1
Te1 Te 0.500 0.500 0.000 1
Se1 Se 0.500 0.500 0.500 1
I1 I 0.000 0.500 0.500 1
I2 I 0.500 0.000 0.500 1

---

# 2
# MgTlSeI, relaxed, DFT GGA-PBE
# energy relative to the elements, uncorrected: -0.8295 eV per atom
# size of the total moment: 0.00 μB per formula unit
# energy: -12.3 eV/f.u.
# DOS(E_F): 0.00 states/eV/cell
data_MgTlSeI
_cell_length_a 4.301
_cell_length_b 4.301
_cell_length_c 8.882
_cell_angle_alpha 104.03
_cell_angle_beta 104.03
_cell_angle_gamma 60.00
_space_group_name_H-M_alt 'P 1'
_space_group_IT_number 1
loop_
_space_group_symop_operation_xyz
'x,y,z'
loop_
_atom_site_label
_atom_site_type_symbol
_atom_site_fract_x
_atom_site_fract_y
_atom_site_fract_z
_atom_site_occupancy
Mg1 Mg 0.000 0.000 0.000 1
Tl1 Tl 0.135 0.135 0.402 1
Se1 Se 0.367 0.367 0.102 1
I1 I 0.891 0.891 0.670 1

---

# 3
# MgSiI3, relaxed, DFT GGA-PBE
# energy relative to the elements, uncorrected: 0.0417 eV per atom
# size of the total moment: 0.00 μB per formula unit
# energy: -11.5 eV/f.u.
# DOS(E_F): 4.75 states/eV/cell
# distance to the lowest polymorph of the same formula: 0.00 eV per formula unit
data_MgSiI3
_cell_length_a 5.622
_cell_length_b 5.622
_cell_length_c 5.622
_cell_angle_alpha 90.00
_cell_angle_beta 90.00
_cell_angle_gamma 90.00
_space_group_name_H-M_alt 'P 1'
_space_group_IT_number 1
loop_
_space_group_symop_operation_xyz
'x,y,z'
loop_
_atom_site_label
_atom_site_type_symbol
_atom_site_fract_x
_atom_site_fract_y
_atom_site_fract_z
_atom_site_occupancy
Mg1 Mg 0.000 0.000 0.000 1
Si1 Si 0.500 0.500 0.500 1
I1 I 0.000 0.500 0.500 1
I2 I 0.500 0.000 0.500 1
I3 I 0.500 0.500 0.000 1

---

# 4
# MgSi2I8, relaxed, DFT GGA-PBE
# energy relative to the elements, uncorrected: -0.3394 eV per atom
# size of the total moment: 0.00 μB per formula unit
# energy: -28.6 eV/f.u.
# DOS(E_F): 0.32 states/eV/cell
data_MgSi2I8
_cell_length_a 9.097
_cell_length_b 9.097
_cell_length_c 6.977
_cell_angle_alpha 97.99
_cell_angle_beta 97.99
_cell_angle_gamma 81.84
_space_group_name_H-M_alt 'P 1'
_space_group_IT_number 1
loop_
_space_group_symop_operation_xyz
'x,y,z'
loop_
_atom_site_label
_atom_site_type_symbol
_atom_site_fract_x
_atom_site_fract_y
_atom_site_fract_z
_atom_site_occupancy
Mg1 Mg 0.000 0.000 0.000 1
Si1 Si 0.203 0.203 0.699 1
Si2 Si 0.797 0.797 0.301 1
I1 I 0.073 0.736 0.205 1
I2 I 0.187 0.187 0.316 1
I3 I 0.264 0.927 0.795 1
I4 I 0.390 0.390 0.880 1
I5 I 0.610 0.610 0.120 1
I6 I 0.736 0.073 0.205 1
I7 I 0.813 0.813 0.684 1
I8 I 0.927 0.264 0.795 1